VASP calculation (PBE) on an optimized crystal structure of LaAg2Au.

ρ ... 8.79 g cm⁻³
Formation enthalpy at 0 K ... -12.3 kJ per mole of atoms
Density of states at the Fermi level ... 2.16 states/eV per cell

Cell lengths 6.705, 6.705, 6.705 Å; angles 52.06, 144.49, 143.21 degrees
Element x y z (fractional)
Au1 0.000 0.500 0.500
Ag1 0.000 0.272 0.272
Ag2 0.000 0.728 0.728
La1 0.000 0.000 0.000